Below is an optimized crystal structure of Cu7Ge2, with properties calculated at the GGA-PBE level.

Values from the calculation:
Mass density: 5.4 g cm⁻³
VASP energy: -3.781 eV per atom

Structure (CIF):
```
data_Cu7Ge2
_chemical_formula_sum 'Cu7 Ge2'
_space_group_name_H-M_alt 'P -3 m 1'
_space_group_IT_number 164
_space_group_name_Hall '-P 3 2"'
_cell_length_a 2.6731
_cell_length_b 2.6731
_cell_length_c 29.5212
_cell_angle_alpha 90.00
_cell_angle_beta 90.00
_cell_angle_gamma 120.00
loop_
_atom_site_label
_atom_site_type_symbol
_atom_site_fract_x
_atom_site_fract_y
_atom_site_fract_z
Cu1 Cu 0.0000 0.0000 0.0000
Cu2 Cu 0.0000 0.0000 0.2079
Cu3 Cu 0.3333 0.6667 0.1384
Cu4 Cu 0.3333 0.6667 0.9308
Ge1 Ge 0.3333 0.6667 0.7173
```

***

Below is an optimized crystal structure of MgRe, with properties calculated at the GGA-PBE level.

Values from the calculation:
Mass density: 11.0 g cm⁻³
Offset from the most stable computed form: 292.5 meV/atom
VASP energy: -6.621 eV per atom
Total moment: 0.002 μB/f.u.

Structure (CIF):
```
data_MgRe
_chemical_formula_sum 'Mg4 Re4'
_space_group_name_H-M_alt 'P m m 2'
_space_group_IT_number 25
_cell_length_a 4.655
_cell_length_b 5.499
_cell_length_c 4.970
_cell_angle_alpha 90.00
_cell_angle_beta 90.00
_cell_angle_gamma 90.00
loop_
_space_group_symop_operation_xyz
'x,y,z'
'-x,-y,z'
'-x,y,z'
'x,-y,z'
loop_
_atom_site_label
_atom_site_type_symbol
_atom_site_fract_x
_atom_site_fract_y
_atom_site_fract_z
Mg1 Mg 0.000 0.000 0.000
Mg2 Mg 0.000 0.262 0.475
Mg3 Mg 0.500 0.000 0.671
Re1 Re 0.000 0.500 0.965
Re2 Re 0.500 0.247 0.172
Re3 Re 0.500 0.500 0.664
```

***

Below is an optimized crystal structure of AlCdO3, with properties calculated at the GGA-PBE level.

Values from the calculation:
Mass density: 5.3 g cm⁻³
VASP energy: -5.573 eV per atom

Structure (CIF):
```
data_AlCdO3
_chemical_formula_sum 'Al4 Cd4 O12'
_space_group_name_H-M_alt 'P n m a'
_space_group_IT_number 62
_cell_length_a 5.236
_cell_length_b 8.124
_cell_length_c 5.506
_cell_angle_alpha 90.00
_cell_angle_beta 90.00
_cell_angle_gamma 90.00
loop_
_space_group_symop_operation_xyz
'x,y,z'
'-x,-y,-z'
'-x+1/2,-y,z+1/2'
'x+1/2,y,-z+1/2'
'x+1/2,-y+1/2,-z+1/2'
'-x+1/2,y+1/2,z+1/2'
'-x,y+1/2,-z'
'x,-y+1/2,z'
loop_
_atom_site_label
_atom_site_type_symbol
_atom_site_fract_x
_atom_site_fract_y
_atom_site_fract_z
Al1 Al 0.006 0.250 0.065
Cd1 Cd 0.000 0.000 0.500
O1 O 0.104 0.587 0.117
O2 O 0.169 0.750 0.655
```

***

Below is an optimized crystal structure of Au, with properties calculated at the GGA-PBE level.

Values from the calculation:
Mass density: 17.7 g cm⁻³
Offset from the most stable computed form: 117.7 meV/atom
VASP energy: -3.149 eV per atom
Formation energy from the elements: 0.118 eV/atom

Structure (CIF):
```
data_Au
_chemical_formula_sum 'Au8'
_space_group_name_H-M_alt 'F m m m'
_space_group_IT_number 69
_space_group_name_Hall '-F 2 2'
_cell_length_a 3.233
_cell_length_b 4.451
_cell_length_c 10.277
_cell_angle_alpha 90.00
_cell_angle_beta 90.00
_cell_angle_gamma 90.00
loop_
_atom_site_label
_atom_site_type_symbol
_atom_site_fract_x
_atom_site_fract_y
_atom_site_fract_z
Au1 Au 0.000 0.000 0.133
```

***

Below is an optimized crystal structure of CdCu2SnTe2S2, with properties calculated at the GGA-PBE level.

Values from the calculation:
Mass density: 5.4 g cm⁻³
VASP energy: -3.638 eV per atom

Structure (CIF):
```
data_CdCu2SnTe2S2
_chemical_formula_sum 'Cd4 Cu8 Sn4 Te8 S8'
_space_group_name_H-M_alt 'F m m 2'
_space_group_IT_number 42
_space_group_name_Hall 'F 2 -2'
_cell_length_a 8.428
_cell_length_b 8.458
_cell_length_c 11.738
_cell_angle_alpha 90.00
_cell_angle_beta 90.00
_cell_angle_gamma 90.00
loop_
_atom_site_label
_atom_site_type_symbol
_atom_site_fract_x
_atom_site_fract_y
_atom_site_fract_z
Cd1 Cd 0.000 0.000 0.000
Cu1 Cu 0.250 0.250 0.287
Sn1 Sn 0.000 0.000 0.505
Te1 Te 0.000 0.250 0.159
S1 S 0.240 0.000 0.376
```

***

Below is an optimized crystal structure of RbBaSmSe3, with properties calculated at the GGA-PBE level.

Values from the calculation:
Mass density: 3.7 g cm⁻³
VASP energy: -4.572 eV per atom
Total moment: 0.000 μB/f.u.

Structure (CIF):
```
data_RbBaSmSe3
_chemical_formula_sum 'Rb4 Ba4 Sm4 Se12'
_space_group_name_H-M_alt 'P n m a'
_space_group_IT_number 62
_cell_length_a 12.519
_cell_length_b 4.448
_cell_length_c 19.827
_cell_angle_alpha 90.00
_cell_angle_beta 90.00
_cell_angle_gamma 90.00
loop_
_space_group_symop_operation_xyz
'x,y,z'
'-x,-y,-z'
'-x+1/2,-y,z+1/2'
'x+1/2,y,-z+1/2'
'x+1/2,-y+1/2,-z+1/2'
'-x+1/2,y+1/2,z+1/2'
'-x,y+1/2,-z'
'x,-y+1/2,z'
loop_
_atom_site_label
_atom_site_type_symbol
_atom_site_fract_x
_atom_site_fract_y
_atom_site_fract_z
Rb1 Rb 0.233 0.250 0.119
Ba1 Ba 0.233 0.250 0.359
Sm1 Sm 0.016 0.250 0.750
Se1 Se 0.014 0.750 0.651
Se2 Se 0.020 0.750 0.849
Se3 Se 0.234 0.750 0.249
```

***

Below is an optimized crystal structure of SrGeMo, with properties calculated at the GGA-PBE level.

Values from the calculation:
Mass density: 5.7 g cm⁻³
VASP energy: -5.059 eV per atom
Total moment: 1.553 μB/f.u.

Structure (CIF):
```
data_SrGeMo
_chemical_formula_sum 'Sr4 Ge4 Mo4'
_space_group_name_H-M_alt 'F -4 3 m'
_space_group_IT_number 216
_space_group_name_Hall 'F -4 2 3'
_cell_length_a 6.684
_cell_length_b 6.684
_cell_length_c 6.684
_cell_angle_alpha 90.00
_cell_angle_beta 90.00
_cell_angle_gamma 90.00
loop_
_atom_site_label
_atom_site_type_symbol
_atom_site_fract_x
_atom_site_fract_y
_atom_site_fract_z
Sr1 Sr 0.000 0.000 0.000
Ge1 Ge 0.250 0.250 0.750
Mo1 Mo 0.000 0.000 0.500
```

***

Below is an optimized crystal structure of Pm2TlCd, with properties calculated at the GGA-PBE level.

Values from the calculation:
Mass density: 8.8 g cm⁻³
VASP energy: -3.559 eV per atom
Total moment: 0.611 μB/f.u.

Structure (CIF):
```
data_Pm2TlCd
_chemical_formula_sum 'Pm8 Tl4 Cd4'
_space_group_name_H-M_alt 'F m -3 m'
_space_group_IT_number 225
_space_group_name_Hall '-F 4 2 3'
_cell_length_a 7.713
_cell_length_b 7.713
_cell_length_c 7.713
_cell_angle_alpha 90.00
_cell_angle_beta 90.00
_cell_angle_gamma 90.00
loop_
_atom_site_label
_atom_site_type_symbol
_atom_site_fract_x
_atom_site_fract_y
_atom_site_fract_z
Pm1 Pm 0.250 0.250 0.250
Tl1 Tl 0.000 0.000 0.000
Cd1 Cd 0.000 0.000 0.500
```

***

Below is an optimized crystal structure of GaAg15, with properties calculated at the GGA-PBE level.

Values from the calculation:
Mass density: 7.0 g cm⁻³
Offset from the most stable computed form: 2.2 meV/atom
VASP energy: -2.794 eV per atom

Structure (CIF):
```
data_GaAg15
_chemical_formula_sum 'Ga2 Ag30'
_space_group_name_H-M_alt 'P m m a'
_space_group_IT_number 51
_cell_length_a 4.125
_cell_length_b 4.122
_cell_length_c 46.995
_cell_angle_alpha 90.00
_cell_angle_beta 90.00
_cell_angle_gamma 90.00
loop_
_space_group_symop_operation_xyz
'x,y,z'
'-x,-y,-z'
'-x+1/2,-y,z'
'x+1/2,y,-z'
'x+1/2,-y,-z'
'-x+1/2,y,z'
'-x,y,-z'
'x,-y,z'
loop_
_atom_site_label
_atom_site_type_symbol
_atom_site_fract_x
_atom_site_fract_y
_atom_site_fract_z
Ga1 Ga 0.250 0.000 0.164
Ag1 Ag 0.250 0.000 0.254
Ag2 Ag 0.250 0.000 0.343
Ag3 Ag 0.250 0.000 0.433
Ag4 Ag 0.250 0.000 0.522
Ag5 Ag 0.250 0.000 0.612
Ag6 Ag 0.250 0.000 0.702
Ag7 Ag 0.250 0.000 0.791
Ag8 Ag 0.250 0.500 0.209
Ag9 Ag 0.250 0.500 0.299
Ag10 Ag 0.250 0.500 0.388
Ag11 Ag 0.250 0.500 0.478
Ag12 Ag 0.250 0.500 0.567
Ag13 Ag 0.250 0.500 0.657
Ag14 Ag 0.250 0.500 0.746
Ag15 Ag 0.250 0.500 0.836
```

***

Below is an optimized crystal structure of NdHoB2Ir2N2, with properties calculated at the GGA-PBE level.

Values from the calculation:
Mass density: 11.5 g cm⁻³
VASP energy: -8.248 eV per atom
Total moment: 0.002 μB/f.u.

Structure (CIF):
```
data_NdHoB2Ir2N2
_chemical_formula_sum 'Nd1 Ho1 B2 Ir2 N2'
_space_group_name_H-M_alt 'P 4 m m'
_space_group_IT_number 99
_cell_length_a 3.773
_cell_length_b 3.773
_cell_length_c 7.510
_cell_angle_alpha 90.00
_cell_angle_beta 90.00
_cell_angle_gamma 90.00
loop_
_space_group_symop_operation_xyz
'x,y,z'
'-y,x,z'
'-x,-y,z'
'y,-x,z'
'-x,y,z'
'y,x,z'
'x,-y,z'
'-y,-x,z'
loop_
_atom_site_label
_atom_site_type_symbol
_atom_site_fract_x
_atom_site_fract_y
_atom_site_fract_z
Nd1 Nd 0.000 0.000 0.000
Ho1 Ho 0.500 0.500 0.328
B1 B 0.000 0.000 0.513
B2 B 0.500 0.500 0.820
Ir1 Ir 0.000 0.500 0.663
N1 N 0.000 0.000 0.315
N2 N 0.500 0.500 0.021
```

***

Below is an optimized crystal structure of YRe2Mo, with properties calculated at the GGA-PBE level.

Values from the calculation:
Mass density: 13.6 g cm⁻³
VASP energy: -10.266 eV per atom
Formation energy from the elements: 0.274 eV/atom
Total moment: 0.004 μB/f.u.

Structure (CIF):
```
data_YRe2Mo
_chemical_formula_sum 'Y4 Re8 Mo4'
_space_group_name_H-M_alt 'F -4 3 m'
_space_group_IT_number 216
_space_group_name_Hall 'F -4 2 3'
_cell_length_a 6.479
_cell_length_b 6.479
_cell_length_c 6.479
_cell_angle_alpha 90.00
_cell_angle_beta 90.00
_cell_angle_gamma 90.00
loop_
_atom_site_label
_atom_site_type_symbol
_atom_site_fract_x
_atom_site_fract_y
_atom_site_fract_z
Y1 Y 0.000 0.000 0.000
Re1 Re 0.000 0.000 0.500
Re2 Re 0.250 0.250 0.250
Mo1 Mo 0.250 0.250 0.750
```

***

Below is an optimized crystal structure of NbTe2Mo, with properties calculated at the GGA-PBE level.

Values from the calculation:
Mass density: 8.8 g cm⁻³
VASP energy: -6.086 eV per atom
Total moment: 0.377 μB/f.u.

Structure (CIF):
```
data_NbTe2Mo
_chemical_formula_sum 'Nb4 Te8 Mo4'
_space_group_name_H-M_alt 'F -4 3 m'
_space_group_IT_number 216
_space_group_name_Hall 'F -4 2 3'
_cell_length_a 6.935
_cell_length_b 6.935
_cell_length_c 6.935
_cell_angle_alpha 90.00
_cell_angle_beta 90.00
_cell_angle_gamma 90.00
loop_
_atom_site_label
_atom_site_type_symbol
_atom_site_fract_x
_atom_site_fract_y
_atom_site_fract_z
Nb1 Nb 0.000 0.000 0.000
Te1 Te 0.000 0.000 0.500
Te2 Te 0.250 0.250 0.750
Mo1 Mo 0.250 0.250 0.250
```

***

- Among the records above, which one has the highest VASP energy?
  GaAg15